This record from Alexandria via LeMat-Bulk describes crystalline MgTlInBi at its relaxed geometry. The functional is GGA-PBE.

a b c (Å): 3.546 3.546 8.961
angles (deg): 89.97 90.03 90.01
Atoms (fractional coordinates):
Tl 0.646 0.354 0.963
Bi 0.146 0.854 0.253
In 0.147 0.853 0.694
Mg 0.646 0.354 0.480

Computed properties:
Offset from the most stable computed form = 0 meV/atom
SG = P4mm (99)
Magnetic moment = 0.00 μB per formula unit
Final energy = -2.697 eV per atom